No. 1
The following is a DFT calculation (PBE) of a geometry-optimized TeRh2N structure.

As for the uncorrected formation energy: 799 meV/atom. The value obtained for the excess energy over the best structure of this formula in the dataset is 662.3 meV per atom. The electronic total energy is -5.743 eV/atom. The value obtained for the density of states at the Fermi level is 18.13 states/eV per cell.

Geometry as CIF:
```
data_TeRh2N
_chemical_formula_sum 'Te4 Rh8 N4'
_cell_length_a 6.127
_cell_length_b 6.127
_cell_length_c 6.127
_cell_angle_alpha 90.00
_cell_angle_beta 90.00
_cell_angle_gamma 90.00
_space_group_name_H-M_alt 'F m -3 m'
_space_group_IT_number 225
_space_group_name_Hall '-F 4 2 3'
loop_
_atom_site_label
_atom_site_fract_x
_atom_site_fract_y
_atom_site_fract_z
Te1 0.000 0.000 0.000
Rh1 0.250 0.250 0.250
N1 0.000 0.000 0.500
```

---

No. 2
The following is a DFT calculation (PBE) of a geometry-optimized Ba2GaGe structure.

The value obtained for the energy of formation from the pure elements is -0.319 eV per atom. The electronic total energy is -3.192 eV/atom. The value obtained for the density of states at the Fermi level is 3.03 states/eV per cell.

Geometry as CIF:
```
data_Ba2GaGe
_chemical_formula_sum 'Ba2 Ga1 Ge1'
_cell_length_a 5.777
_cell_length_b 5.777
_cell_length_c 4.073
_cell_angle_alpha 90.00
_cell_angle_beta 90.00
_cell_angle_gamma 90.00
_space_group_name_H-M_alt 'P 4/m m m'
_space_group_IT_number 123
_space_group_name_Hall '-P 4 2'
loop_
_atom_site_label
_atom_site_fract_x
_atom_site_fract_y
_atom_site_fract_z
Ba1 0.000 0.500 0.000
Ga1 0.000 0.000 0.500
Ge1 0.500 0.500 0.500
```

---

No. 3
The following is a DFT calculation (PBE) of a geometry-optimized SrLiEuAu structure.

The value obtained for the energy of formation from the pure elements is -0.354 eV per atom. The electronic total energy is -4.641 eV/atom. The value obtained for the density of states at the Fermi level is 40.45 states/eV per cell.

Geometry as CIF:
```
data_SrLiEuAu
_chemical_formula_sum 'Sr4 Li4 Eu4 Au4'
_cell_length_a 7.738
_cell_length_b 7.738
_cell_length_c 7.738
_cell_angle_alpha 90.00
_cell_angle_beta 90.00
_cell_angle_gamma 90.00
_space_group_name_H-M_alt 'F -4 3 m'
_space_group_IT_number 216
_space_group_name_Hall 'F -4 2 3'
loop_
_atom_site_label
_atom_site_fract_x
_atom_site_fract_y
_atom_site_fract_z
Sr1 0.000 0.000 0.000
Li1 0.250 0.250 0.750
Eu1 0.000 0.000 0.500
Au1 0.250 0.250 0.250
```

---

No. 4
The following is a DFT calculation (PBE) of a geometry-optimized Hf6TeN structure.

As for the uncorrected formation energy: -364 meV/atom. The electronic total energy is -9.262 eV/atom. The value obtained for the density of states at the Fermi level is 4.88 states/eV per cell.

Geometry as CIF:
```
data_Hf6TeN
_chemical_formula_sum 'Hf6 Te1 N1'
_cell_length_a 5.831
_cell_length_b 5.834
_cell_length_c 6.820
_cell_angle_alpha 90.02
_cell_angle_beta 115.25
_cell_angle_gamma 119.97
_space_group_name_H-M_alt 'P -1'
_space_group_IT_number 2
_space_group_name_Hall '-P 1'
loop_
_atom_site_label
_atom_site_fract_x
_atom_site_fract_y
_atom_site_fract_z
Hf1 0.063 0.098 0.301
Hf2 0.296 0.534 0.699
Hf3 0.336 0.738 0.302
Te1 0.500 0.000 0.000
N1 0.500 0.500 0.500
```

---

No. 5
The following is a DFT calculation (PBE) of a geometry-optimized PaTlBr6 structure.

As for the uncorrected formation energy: -1317 meV/atom. The electronic total energy is -4.054 eV/atom. The value obtained for the density of states at the Fermi level is 0.00 states/eV per cell.

Geometry as CIF:
```
data_PaTlBr6
_chemical_formula_sum 'Pa2 Tl2 Br12'
_cell_length_a 7.871
_cell_length_b 12.472
_cell_length_c 7.481
_cell_angle_alpha 90.00
_cell_angle_beta 105.41
_cell_angle_gamma 90.00
_space_group_name_H-M_alt 'C 1 2/m 1'
_space_group_IT_number 12
_space_group_name_Hall '-C 2y'
loop_
_atom_site_label
_atom_site_fract_x
_atom_site_fract_y
_atom_site_fract_z
Pa1 0.000 0.000 0.000
Tl1 0.000 0.500 0.500
Br1 0.190 0.154 0.226
Br2 0.240 0.000 0.798
```

---

No. 6
The following is a DFT calculation (PBE) of a geometry-optimized NaAg structure.

The value obtained for the energy of formation from the pure elements is 0.111 eV per atom. The electronic total energy is -1.975 eV/atom. The value obtained for the density of states at the Fermi level is 7.55 states/eV per cell.

Geometry as CIF:
```
data_NaAg
_chemical_formula_sum 'Na8 Ag8'
_cell_length_a 11.631
_cell_length_b 11.631
_cell_length_c 2.897
_cell_angle_alpha 90.00
_cell_angle_beta 90.00
_cell_angle_gamma 90.00
_space_group_name_H-M_alt 'I 4/m'
_space_group_IT_number 87
_space_group_name_Hall '-I 4'
loop_
_atom_site_label
_atom_site_fract_x
_atom_site_fract_y
_atom_site_fract_z
Na1 0.127 0.670 0.000
Ag1 0.067 0.159 0.000
```

---

No. 7
The following is a DFT calculation (PBE) of a geometry-optimized BeCr2B2Ru5 structure.

The value obtained for the energy of formation from the pure elements is -0.207 eV per atom. The electronic total energy is -8.477 eV/atom. The value obtained for the density of states at the Fermi level is 13.57 states/eV per cell.

Geometry as CIF:
```
data_BeCr2B2Ru5
_chemical_formula_sum 'Be2 Cr4 B4 Ru10'
_cell_length_a 8.972
_cell_length_b 8.972
_cell_length_c 2.859
_cell_angle_alpha 90.00
_cell_angle_beta 90.00
_cell_angle_gamma 90.00
_space_group_name_H-M_alt 'P 4/m b m'
_space_group_IT_number 127
_space_group_name_Hall '-P 4 2ab'
loop_
_atom_site_label
_atom_site_fract_x
_atom_site_fract_y
_atom_site_fract_z
Be1 0.000 0.000 0.000
Cr1 0.178 0.322 0.000
B1 0.131 0.631 0.000
Ru1 0.000 0.500 0.500
Ru2 0.064 0.795 0.500
```

---

Which value of density of states at the Fermi level does entry 1 give?
18.13 states/eV per cell